No. 1
## Y6ZnFe2 (PBE)

Data for Y6ZnFe2 after structural relaxation.

a b c (Å): 8.3635 8.3635 8.3635
angles (deg): 110.90 110.82 106.72
Fractional positions:
Y1 0.0278 0.2303 0.7975
Y2 0.1844 0.2834 0.4678
Y3 0.1844 0.7166 0.9011
Y4 0.3147 0.0173 0.7026
Y5 0.3147 0.6121 0.2974
Y6 0.4328 0.2303 0.2025
Y7 0.5672 0.7697 0.7975
Y8 0.6853 0.3879 0.7026
Y9 0.6853 0.9827 0.2974
Y10 0.8156 0.2834 0.0989
Y11 0.8156 0.7166 0.5322
Y12 0.9722 0.7697 0.2025
Zn1 0.0000 0.0000 0.0000
Zn2 0.5000 0.5000 0.0000
Fe1 0.1083 0.6083 0.5000
Fe2 0.3825 0.0000 0.3825
Fe3 0.6175 0.0000 0.6175
Fe4 0.8917 0.3917 0.5000

Calculated values
DFT total energy = -6.421 eV/atom

=====

No. 2
## YZnFe3 (PBE)

Data for YZnFe3 after structural relaxation.

a b c (Å): 4.5176 4.5176 4.5176
angles (deg): 90.00 90.00 90.00
Fractional positions:
Y1 0.0000 0.0000 0.0000
Zn1 0.5000 0.5000 0.5000
Fe1 0.0000 0.5000 0.5000
Fe2 0.5000 0.0000 0.5000
Fe3 0.5000 0.5000 0.0000

Calculated values
DFT total energy = -5.930 eV/atom

=====

No. 3
## YZn2Fe9 (PBE)

Data for YZn2Fe9 after structural relaxation.

a b c (Å): 8.1928 8.1928 4.8455
angles (deg): 90.00 90.00 90.00
Fractional positions:
Y1 0.0000 0.0000 0.0000
Y2 0.5000 0.5000 0.0000
Zn1 0.1186 0.3814 0.0000
Zn2 0.3814 0.8814 0.0000
Zn3 0.6186 0.1186 0.0000
Zn4 0.8814 0.6186 0.0000
Fe1 0.0000 0.5000 0.5000
Fe2 0.0659 0.2121 0.5000
Fe3 0.1780 0.6780 0.2435
Fe4 0.1780 0.6780 0.7565
Fe5 0.2121 0.9341 0.5000
Fe6 0.2879 0.4341 0.5000
Fe7 0.3220 0.1780 0.2435
Fe8 0.3220 0.1780 0.7565
Fe9 0.4341 0.7121 0.5000
Fe10 0.5000 0.0000 0.5000
Fe11 0.5659 0.2879 0.5000
Fe12 0.6780 0.8220 0.2435
Fe13 0.6780 0.8220 0.7565
Fe14 0.7121 0.5659 0.5000
Fe15 0.7879 0.0659 0.5000
Fe16 0.8220 0.3220 0.2435
Fe17 0.8220 0.3220 0.7565
Fe18 0.9341 0.7879 0.5000

Calculated values
DFT total energy = -7.071 eV/atom

=====

No. 4
## YZn2Fe (PBE)

Data for YZn2Fe after structural relaxation.

a b c (Å): 3.2883 3.2883 6.4659
angles (deg): 90.00 90.00 90.00
Fractional positions:
Y1 0.0000 0.0000 0.0000
Zn1 0.5000 0.5000 0.3050
Zn2 0.5000 0.5000 0.6950
Fe1 0.0000 0.0000 0.5000

Calculated values
DFT total energy = -4.397 eV/atom

=====

Going through the records in order, we get E_form values of -89 695 27 -29 meV/atom.